Density functional theory data (PBE-GGA) for a geometry-optimized KOs2Rh structure.

a = 7.7722 Å, b = 7.7722 Å, c = 6.0703 Å
α = 50.19°, β = 50.19°, γ = 90.00°
With the nearest neighbours (Å) after each atom.
Fractional coordinates of all 8 atoms:
Rh 0.7500 0.2500 0.5000  4 Os 2.53, 2 K 2.58
Rh 0.0000 0.0000 0.0000  4 Os 2.53, 2 K 2.58
Os 0.8750 0.9342 0.7500  2 Rh 2.53, 2 Os 2.74
Os 0.0658 0.6250 0.2500  2 Rh 2.53, 2 Os 2.74
Os 0.3750 0.3158 0.7500  2 Rh 2.53, 2 Os 2.74
Os 0.6842 0.1250 0.2500  2 Rh 2.53, 2 Os 2.74
K 0.2500 0.7500 0.5000  2 Rh 2.58
K 0.5000 0.5000 0.0000  2 Rh 2.58

Calculated values
- symmetry = I-42d
- crystal system = tetragonal
- formation energy from the elements (eV/atom) = 1.63
- excess energy over the best structure of this formula in the dataset (meV/atom) = 969.5

Density functional theory data (PBE-GGA) for a geometry-optimized Th2Mn17C3 structure.

a = 6.5401 Å, b = 6.5401 Å, c = 6.5401 Å
α = 83.50°, β = 83.50°, γ = 83.50°
With the nearest neighbours (Å) after each atom.
Fractional coordinates of all 22 atoms:
Mn 0.3348 0.8680 0.3348  1 C 1.94
Mn 0.9083 0.9083 0.9083  1 Mn 2.30
Mn 0.2813 0.0000 0.7187  1 C 1.90
Mn 0.2813 0.7187 0.0000  1 C 1.90
Mn 0.3348 0.3348 0.8680  1 C 1.94
Mn 0.7187 0.0000 0.2813  1 C 1.90
Mn 0.6652 0.6652 0.1320  1 C 1.94
Mn 0.0000 0.2813 0.7187  1 C 1.90
Mn 0.0000 0.5000 0.0000  10 Mn 2.44-2.68
Mn 0.0000 0.7187 0.2813  1 C 1.90
Mn 0.7187 0.2813 0.0000  1 C 1.90
Mn 0.1320 0.6652 0.6652  1 C 1.94
Mn 0.5000 0.0000 0.0000  10 Mn 2.44-2.68
Mn 0.0917 0.0917 0.0917  1 Mn 2.30
Mn 0.0000 0.0000 0.5000  10 Mn 2.44-2.68
Mn 0.6652 0.1320 0.6652  1 C 1.94
Mn 0.8680 0.3348 0.3348  1 C 1.94
C 0.0000 0.5000 0.5000  4 Mn 1.90-1.94
C 0.5000 0.0000 0.5000  4 Mn 1.90-1.94
C 0.5000 0.5000 0.0000  4 Mn 1.90-1.94
Th 0.6475 0.6475 0.6475  3 C 2.53
Th 0.3525 0.3525 0.3525  3 C 2.53

Calculated values
- symmetry = R-3m
- crystal system = trigonal
- formation energy from the elements (eV/atom) = -0.08

Density functional theory data (PBE-GGA) for a geometry-optimized ThMgAu2 structure.

a = 3.4253 Å, b = 3.4253 Å, c = 7.3983 Å
α = 90.00°, β = 90.00°, γ = 90.00°
With the nearest neighbours (Å) after each atom.
Fractional coordinates of all 4 atoms:
Au 0.0000 0.0000 0.7853  4 Mg 2.90, 1 Au 3.18, 4 Th 3.21
Au 0.0000 0.0000 0.2147  4 Mg 2.90, 1 Au 3.18, 4 Th 3.21
Mg 0.5000 0.5000 0.0000  8 Au 2.90
Th 0.5000 0.5000 0.5000  8 Au 3.21, 4 Th 3.43

Calculated values
- symmetry = P4/mmm
- crystal system = tetragonal
- formation energy from the elements (eV/atom) = -0.60

Density functional theory data (PBE-GGA) for a geometry-optimized Dy6TmAl2 structure.

a = 4.7652 Å, b = 4.7652 Å, c = 14.2103 Å
α = 99.65°, β = 99.65°, γ = 90.00°
With the nearest neighbours (Å) after each atom.
Fractional coordinates of all 9 atoms:
Dy 0.1497 0.1497 0.7941  1 Al 2.84
Dy 0.6444 0.6444 0.7941  1 Al 2.84
Dy 0.7500 0.2500 0.5000  4 Al 2.98
Dy 0.3556 0.8503 0.2059  1 Al 2.84
Dy 0.8503 0.3556 0.2059  1 Al 2.84
Dy 0.2500 0.7500 0.5000  4 Al 2.98
Al 0.8148 0.8148 0.6296  6 Dy 2.84-2.98
Al 0.1852 0.1852 0.3704  6 Dy 2.84-2.98
Tm 0.5000 0.5000 0.0000  4 Dy 3.29

Calculated values
- symmetry = I-42m
- crystal system = tetragonal
- formation energy from the elements (eV/atom) = 0.53
- excess energy over the best structure of this formula in the dataset (meV/atom) = 699.3

Density functional theory data (PBE-GGA) for a geometry-optimized Mg2ScCd structure.

a = 8.0546 Å, b = 8.0546 Å, c = 6.4420 Å
α = 51.31°, β = 51.31°, γ = 90.00°
With the nearest neighbours (Å) after each atom.
Fractional coordinates of all 8 atoms:
Sc 0.2500 0.7500 0.5000  2 Cd 3.01, 4 Mg 3.10
Sc 0.5000 0.5000 0.0000  2 Cd 3.01, 4 Mg 3.10
Cd 0.0000 0.0000 0.0000  4 Mg 2.80, 2 Sc 3.01
Cd 0.7500 0.2500 0.5000  4 Mg 2.80, 2 Sc 3.01
Mg 0.0968 0.6250 0.2500  2 Cd 2.80, 2 Mg 3.04, 2 Sc 3.10
Mg 0.8750 0.9032 0.7500  2 Cd 2.80, 2 Mg 3.04, 2 Sc 3.10
Mg 0.3750 0.3468 0.7500  2 Cd 2.80, 2 Mg 3.04, 2 Sc 3.10
Mg 0.6532 0.1250 0.2500  2 Cd 2.80, 2 Mg 3.04, 2 Sc 3.10

Calculated values
- symmetry = I-42d
- crystal system = tetragonal
- formation energy from the elements (eV/atom) = 0.15

Density functional theory data (PBE-GGA) for a geometry-optimized SmDyV4 structure.

a = 5.3962 Å, b = 5.3962 Å, c = 5.3962 Å
α = 60.00°, β = 60.00°, γ = 60.00°
With the nearest neighbours (Å) after each atom.
Fractional coordinates of all 6 atoms:
V 0.6293 0.1122 0.6293  6 V 2.61-2.79
V 0.6293 0.6293 0.1122  6 V 2.61-2.79
V 0.1122 0.6293 0.6293  6 V 2.61-2.79
V 0.6293 0.6293 0.6293  6 V 2.61-2.79
Sm 0.2500 0.2500 0.2500  12 V 3.17, 4 Dy 3.30
Dy 0.0000 0.0000 0.0000  12 V 3.15, 4 Sm 3.30

Calculated values
- symmetry = F-43m
- crystal system = cubic
- formation energy from the elements (eV/atom) = 0.38

Density functional theory data (PBE-GGA) for a geometry-optimized PmTaRuRh structure.

a = 4.7068 Å, b = 4.7068 Å, c = 4.7068 Å
α = 60.00°, β = 60.00°, γ = 60.00°
With the nearest neighbours (Å) after each atom.
Fractional coordinates of all 4 atoms:
Rh 0.0000 0.0000 0.0000  4 Pm 2.88, 4 Ta 2.88
Ru 0.5000 0.5000 0.5000  4 Ta 2.88, 4 Pm 2.88
Ta 0.2500 0.2500 0.2500  4 Rh 2.88, 4 Ru 2.88
Pm 0.7500 0.7500 0.7500  4 Rh 2.88, 4 Ru 2.88

Calculated values
- symmetry = F-43m
- crystal system = cubic
- formation energy from the elements (eV/atom) = -0.22

Density functional theory data (PBE-GGA) for a geometry-optimized Sm4AlSn2 structure.

a = 4.9973 Å, b = 4.9973 Å, c = 10.8458 Å
α = 76.68°, β = 76.68°, γ = 60.00°
With the nearest neighbours (Å) after each atom.
Fractional coordinates of all 7 atoms:
Al 0.5000 0.5000 0.5000  2 Sn 2.99, 6 Sm 3.18
Sn 0.4048 0.4048 0.7856  1 Al 2.99, 6 Sm 3.08-3.32
Sn 0.5952 0.5952 0.2144  1 Al 2.99, 6 Sm 3.08-3.32
Sm 0.1238 0.1238 0.6285  3 Al 3.18, 3 Sn 3.32
Sm 0.2966 0.2966 0.1102  4 Sn 3.08-3.39
Sm 0.8762 0.8762 0.3715  3 Al 3.18, 3 Sn 3.32
Sm 0.7034 0.7034 0.8898  4 Sn 3.08-3.39

Calculated values
- symmetry = R-3m
- crystal system = trigonal
- formation energy from the elements (eV/atom) = -0.38

Density functional theory data (PBE-GGA) for a geometry-optimized LaTb2Ag2Pb2 structure.

a = 4.9779 Å, b = 4.9779 Å, c = 9.3539 Å
α = 74.57°, β = 74.57°, γ = 60.00°
With the nearest neighbours (Å) after each atom.
Fractional coordinates of all 7 atoms:
Tb 0.1351 0.1351 0.5948  3 Ag 2.95
Tb 0.8649 0.8649 0.4052  3 Ag 2.95
La 0.0000 0.0000 0.0000  6 Pb 3.42, 2 Tb 3.61
Pb 0.2640 0.2640 0.2079  3 Ag 3.07, 3 Tb 3.37, 3 La 3.42
Pb 0.7360 0.7360 0.7921  3 Ag 3.07, 3 Tb 3.37, 3 La 3.42
Ag 0.4431 0.4431 0.6707  3 Tb 2.95, 1 Ag 3.04, 3 Pb 3.07
Ag 0.5569 0.5569 0.3293  3 Tb 2.95, 1 Ag 3.04, 3 Pb 3.07

Calculated values
- symmetry = R-3m
- crystal system = trigonal
- formation energy from the elements (eV/atom) = -0.35

Density functional theory data (PBE-GGA) for a geometry-optimized LiN2 structure.

a = 3.4597 Å, b = 3.4597 Å, c = 3.6018 Å
α = 118.72°, β = 118.72°, γ = 89.98°
With the nearest neighbours (Å) after each atom.
Fractional coordinates of all 3 atoms:
N 0.1127 0.1127 0.2254  1 N 1.19
N 0.8873 0.8873 0.7746  1 N 1.19
Li 0.5000 0.5000 0.0000  2 N 2.05

Calculated values
- symmetry = I4/mmm
- crystal system = tetragonal
- excess energy over the best structure of this formula in the dataset (meV/atom) = 178.3
- raw formation energy (eV per atom) = -0.06

Density functional theory data (PBE-GGA) for a geometry-optimized Ca9Nb2Ga10Si6O42 structure.

a = 9.6160 Å, b = 9.6160 Å, c = 9.6160 Å
α = 94.84°, β = 94.84°, γ = 94.84°
With the nearest neighbours (Å) after each atom.
Fractional coordinates of all 69 atoms:
Ca 0.6238 0.2010 0.1924  5 O 2.36-2.60
Ca 0.5464 0.5032 0.9411  5 O 2.28-2.47
Ca 0.8596 0.2789 0.8643  5 O 2.34-2.56
Ca 0.9411 0.5464 0.5032  5 O 2.28-2.47
Ca 0.1924 0.6238 0.2010  5 O 2.36-2.60
Ca 0.2010 0.1924 0.6238  5 O 2.36-2.60
Ca 0.5032 0.9411 0.5464  5 O 2.28-2.47
Ca 0.8643 0.8596 0.2789  5 O 2.34-2.56
Ca 0.2789 0.8643 0.8596  5 O 2.34-2.56
O 0.0848 0.3818 0.7721  1 Si 1.63
O 0.1949 0.9808 0.0684  2 Ga 1.86-2.05
O 0.0684 0.1949 0.9808  2 Ga 1.86-2.05
O 0.4843 0.1715 0.6487  1 Si 1.67
O 0.3189 0.1492 0.8454  1 Si 1.66
O 0.9808 0.0684 0.1949  2 Ga 1.86-2.05
O 0.7241 0.8644 0.6313  1 Ga 1.88, 1 Nb 1.99
O 0.1572 0.3824 0.2318  1 Ga 1.85, 1 Nb 2.02
O 0.5365 0.3069 0.3944  1 Ga 1.84, 1 Nb 2.01
O 0.2757 0.6174 0.7711  1 Si 1.66
O 0.0389 0.8861 0.8206  2 Ga 1.85-1.96
O 0.7711 0.2757 0.6174  1 Si 1.66
O 0.3069 0.3944 0.5365  1 Ga 1.84, 1 Nb 2.01
O 0.5713 0.4792 0.7063  1 Ga 1.84, 1 Nb 2.04
O 0.6141 0.9642 0.1023  1 Si 1.66
O 0.8206 0.0389 0.8861  2 Ga 1.85-1.96
O 0.2318 0.1572 0.3824  1 Ga 1.85, 1 Nb 2.02
O 0.1715 0.6487 0.4843  1 Si 1.67
O 0.8861 0.8206 0.0389  2 Ga 1.85-1.96
O 0.1023 0.6141 0.9642  1 Si 1.66
O 0.7721 0.0848 0.3818  1 Si 1.63
O 0.5110 0.9767 0.8187  1 Si 1.66
O 0.4792 0.7063 0.5713  1 Ga 1.84, 1 Nb 2.04
O 0.1492 0.8454 0.3189  1 Si 1.66
O 0.7063 0.5713 0.4792  1 Ga 1.84, 1 Nb 2.04
O 0.2543 0.9208 0.5939  1 Si 1.62
O 0.9660 0.3036 0.4389  1 Si 1.66
O 0.8644 0.6313 0.7241  1 Ga 1.88, 1 Nb 1.99
O 0.5939 0.2543 0.9208  1 Si 1.62
O 0.3944 0.5365 0.3069  1 Ga 1.84, 1 Nb 2.01
O 0.8454 0.3189 0.1492  1 Si 1.66
O 0.9767 0.8187 0.5110  1 Si 1.66
O 0.8187 0.5110 0.9767  1 Si 1.66
O 0.6313 0.7241 0.8644  1 Ga 1.88, 1 Nb 1.99
O 0.9208 0.5939 0.2543  1 Si 1.62
O 0.3818 0.7721 0.0848  1 Si 1.63
O 0.6174 0.7711 0.2757  1 Si 1.66
O 0.9642 0.1023 0.6141  1 Si 1.66
O 0.4389 0.9660 0.3036  1 Si 1.66
O 0.3036 0.4389 0.9660  1 Si 1.66
O 0.6487 0.4843 0.1715  1 Si 1.67
O 0.3824 0.2318 0.1572  1 Ga 1.85, 1 Nb 2.02
Si 0.8179 0.4869 0.1451  4 O 1.62-1.67
Si 0.5084 0.8626 0.1862  4 O 1.63-1.66
Si 0.8626 0.1862 0.5084  4 O 1.63-1.66
Si 0.1862 0.5084 0.8626  4 O 1.63-1.66
Si 0.1451 0.8179 0.4869  4 O 1.62-1.67
Si 0.4869 0.1451 0.8179  4 O 1.62-1.67
Ga 0.6729 0.9156 0.9231  4 O 1.85-1.94
Ga 0.5877 0.3250 0.5846  4 O 1.84-1.89
Ga 0.2594 0.2490 0.0025  4 O 1.85-1.91
Ga 0.9911 0.9911 0.9911  6 O 1.96-2.05
Ga 0.9156 0.9231 0.6729  4 O 1.85-1.94
Ga 0.2490 0.0025 0.2594  4 O 1.85-1.91
Ga 0.0025 0.2594 0.2490  4 O 1.85-1.91
Ga 0.3250 0.5846 0.5877  4 O 1.84-1.89
Ga 0.5846 0.5877 0.3250  4 O 1.84-1.89
Ga 0.9231 0.6729 0.9156  4 O 1.85-1.94
Nb 0.3362 0.3362 0.3362  6 O 2.01-2.02
Nb 0.6674 0.6674 0.6674  6 O 1.99-2.04

Calculated values
- symmetry = R3
- crystal system = trigonal
- raw formation energy (eV per atom) = -2.51

Density functional theory data (PBE-GGA) for a geometry-optimized Pr2Sm4ErSc structure.

a = 5.0901 Å, b = 5.0730 Å, c = 11.3342 Å
α = 63.35°, β = 90.00°, γ = 90.00°
With the nearest neighbours (Å) after each atom.
Fractional coordinates of all 8 atoms:
Sm 0.5000 0.7464 0.2534  4 Pr 3.56-3.61, 2 Sc 3.57, 4 Sm 3.59, 2 Er 3.61
Sm 0.0000 0.2451 0.2545  2 Sc 3.55-3.56, 4 Pr 3.56-3.62, 4 Sm 3.59, 2 Er 3.62
Sm 0.0000 0.7549 0.7455  2 Sc 3.55-3.56, 4 Pr 3.56-3.62, 4 Sm 3.59, 2 Er 3.62
Sm 0.5000 0.2536 0.7466  4 Pr 3.56-3.61, 2 Sc 3.57, 4 Sm 3.59, 2 Er 3.61
Sc 0.0000 0.5000 0.5000  8 Sm 3.55-3.57, 4 Pr 3.59
Er 0.5000 0.5000 0.0000  4 Pr 3.59, 8 Sm 3.61-3.62
Pr 0.0000 0.0000 0.0000  4 Er 3.59, 8 Sm 3.61-3.62
Pr 0.5000 0.0000 0.5000  8 Sm 3.56, 4 Sc 3.59

Calculated values
- symmetry = P2/m
- crystal system = monoclinic
- formation energy from the elements (eV/atom) = 0.03